1.
Density functional theory data (SCAN) for a crystal of YMg2AgTe relaxed with PBEsol.

Unit cell a=5.322 b=5.322 c=5.252 alpha=90.00 beta=90.00 gamma=90.00
Atoms (fractional coordinates):
Y 0.500 0.500 0.500
Te 0.000 0.000 0.000
Mg 0.500 0.000 0.000
Ag 0.000 0.000 0.500
Mg 0.000 0.500 0.000

Output
Its raw total energy is -104.50 eV per cell. The value obtained for the total magnetization is 0.0 μB/f.u. For the energy relative to the elements, uncorrected, the calculation gives 0.38 eV/atom. As for the space group: P4/mmm. For the density of states at the Fermi level, the calculation gives 0.54 states/eV/atom.

=====

2.
Density functional theory data (SCAN) for a crystal of MgTiAg3 relaxed with PBEsol.

Unit cell a=4.921 b=4.921 c=4.921 alpha=90.00 beta=90.00 gamma=90.00
Atoms (fractional coordinates):
Ag 0.500 0.000 0.000
Ag 0.000 0.000 0.500
Ag 0.000 0.500 0.000
Ti 0.000 0.000 0.000
Mg 0.500 0.500 0.500

Output
Its raw total energy is -110.54 eV per cell. The value obtained for the total magnetization is 1.5 μB/f.u. As for the space group: Pm-3m. Its formation energy is 0.91 eV/atom. For the density of states at the Fermi level, the calculation gives 0.53 states/eV/atom.

=====

3.
Density functional theory data (SCAN) for a crystal of Mg3TiAg relaxed with PBEsol.

Unit cell a=4.950 b=4.950 c=4.950 alpha=90.00 beta=90.00 gamma=90.00
Atoms (fractional coordinates):
Ag 0.000 0.000 0.000
Mg 0.000 0.000 0.500
Mg 0.000 0.500 0.000
Ti 0.500 0.500 0.500
Mg 0.500 0.000 0.000

Output
Its raw total energy is -60.23 eV per cell. The value obtained for the total magnetization is 2.6 μB/f.u. As for the space group: Pm-3m. Its formation energy is 0.42 eV/atom. For the density of states at the Fermi level, the calculation gives 0.58 states/eV/atom.

=====

Repeat the third record exactly.
Density functional theory data (SCAN) for a crystal of Mg3TiAg relaxed with PBEsol.

Unit cell a=4.950 b=4.950 c=4.950 alpha=90.00 beta=90.00 gamma=90.00
Atoms (fractional coordinates):
Ag 0.000 0.000 0.000
Mg 0.000 0.000 0.500
Mg 0.000 0.500 0.000
Ti 0.500 0.500 0.500
Mg 0.500 0.000 0.000

Output
Its raw total energy is -60.23 eV per cell. The value obtained for the total magnetization is 2.6 μB/f.u. As for the space group: Pm-3m. Its formation energy is 0.42 eV/atom. For the density of states at the Fermi level, the calculation gives 0.58 states/eV/atom.

=====

> Which value of raw total energy does entry 1 give?

-104.50 eV per cell

=====

> Among the records above, which one has the highest raw total energy?

Mg3TiAg